A relaxed structure of BeSiTe2, computed with PBE.

Results
SG: R-3m
Uncorrected energy: -3.529 eV/atom
Density of states at the Fermi level: 0.000 states/eV/f.u.
Uncorrected formation energy: 0.33 eV per atom

Cell: 7.855 7.855 7.855 Å, 32.44 32.44 32.44°
Positions (direct):
Be  0.000  0.000  0.000
Si  0.500  0.500  0.500
Te  0.100  0.100  0.100
Te  0.900  0.900  0.900